#a
# LaTbIn3

Crystalline LaTbIn3 at its relaxed geometry (PBE, Alexandria).

Calculated values
Space-group type   Cmcm
Calculated volume   281.31 Å³/cell

Unit cell a=15.034 b=15.034 c=4.956 alpha=90.00 beta=90.00 gamma=165.46
Element x y z (fractional)
La 0.074 0.926 0.750
La 0.926 0.074 0.250
Tb 0.213 0.787 0.250
Tb 0.787 0.213 0.750
In 0.320 0.680 0.250
In 0.377 0.623 0.750
In 0.475 0.525 0.750
In 0.525 0.475 0.250
In 0.623 0.377 0.250
In 0.680 0.320 0.750

#b
# LaTbIn3

Crystalline LaTbIn3 at its relaxed geometry (PBE, Alexandria).

Calculated values
Space-group type   I-4m2
Calculated volume   397.69 Å³/cell

Unit cell a=12.355 b=12.355 c=12.355 alpha=152.64 beta=152.64 gamma=39.08
Element x y z (fractional)
La 0.000 0.000 0.000
La 0.750 0.250 0.500
Tb 0.417 0.417 0.000
Tb 0.583 0.583 0.000
In 0.042 0.542 0.500
In 0.376 0.128 0.248
In 0.458 0.958 0.500
In 0.872 0.120 0.248
In 0.872 0.624 0.752
In 0.880 0.128 0.752

#a is preferred energetically. Next in line: 606 meV per atom higher.

#a
# La2Tb2In3

Crystalline La2Tb2In3 at its relaxed geometry (PBE, Alexandria).

Calculated values
Space-group type   P-1
Calculated volume   203.41 Å³/cell

Unit cell a=3.937 b=6.236 c=8.732 alpha=91.26 beta=90.02 gamma=108.38
Element x y z (fractional)
La 0.216 0.433 0.157
La 0.784 0.567 0.843
Tb 0.055 0.109 0.699
Tb 0.945 0.891 0.301
In 0.342 0.684 0.548
In 0.500 0.000 0.000
In 0.658 0.316 0.452

#b
# La2Tb2In3

Crystalline La2Tb2In3 at its relaxed geometry (PBE, Alexandria).

Calculated values
Space-group type   Cmmm
Calculated volume   206.02 Å³/cell

Unit cell a=12.627 b=12.627 c=3.491 alpha=90.00 beta=90.00 gamma=158.27
Element x y z (fractional)
La 0.074 0.926 0.000
La 0.926 0.074 0.000
Tb 0.206 0.794 0.000
Tb 0.794 0.206 0.000
In 0.345 0.655 0.500
In 0.500 0.500 0.500
In 0.655 0.345 0.500

#a is preferred energetically. Next in line: 33 meV per atom higher.

#a
# La8Tb2In

Crystalline La8Tb2In at its relaxed geometry (PBE, Alexandria).

Calculated values
Space-group type   C2/m
Calculated volume   384.84 Å³/cell

Unit cell a=6.964 b=6.964 c=9.153 alpha=91.76 beta=91.76 gamma=60.17
Element x y z (fractional)
La 0.156 0.686 0.803
La 0.314 0.844 0.197
La 0.329 0.329 0.100
La 0.333 0.333 0.463
La 0.667 0.667 0.537
La 0.671 0.671 0.900
La 0.686 0.156 0.803
La 0.844 0.314 0.197
Tb 0.166 0.166 0.781
Tb 0.834 0.834 0.219
In 0.000 0.000 0.500

#b
# La8Tb2In

Crystalline La8Tb2In at its relaxed geometry (PBE, Alexandria).

Calculated values
Space-group type   C2/m
Calculated volume   377.54 Å³/cell

Unit cell a=9.684 b=9.684 c=8.250 alpha=105.24 beta=105.24 gamma=30.48
Element x y z (fractional)
La 0.045 0.045 0.235
La 0.136 0.136 0.678
La 0.325 0.325 0.591
La 0.409 0.409 0.051
La 0.591 0.591 0.949
La 0.675 0.675 0.409
La 0.864 0.864 0.322
La 0.955 0.955 0.765
Tb 0.227 0.227 0.134
Tb 0.773 0.773 0.866
In 0.500 0.500 0.500

#b is preferred energetically. Next in line: 81 meV per atom higher.

#a
# La2Tb3In2

Crystalline La2Tb3In2 at its relaxed geometry (PBE, Alexandria).

Calculated values
Space-group type   C2/m
Calculated volume   210.23 Å³/cell

Unit cell a=6.087 b=6.087 c=8.111 alpha=95.04 beta=95.04 gamma=44.64
Element x y z (fractional)
La 0.135 0.135 0.430
La 0.865 0.865 0.570
Tb 0.000 0.000 0.000
Tb 0.272 0.272 0.854
Tb 0.728 0.728 0.146
In 0.424 0.424 0.264
In 0.576 0.576 0.736

#b
# La2Tb3In2

Crystalline La2Tb3In2 at its relaxed geometry (PBE, Alexandria).

Calculated values
Space-group type   C2/m
Calculated volume   218.15 Å³/cell

Unit cell a=5.530 b=5.530 c=8.830 alpha=108.20 beta=108.20 gamma=60.00
Element x y z (fractional)
La 0.079 0.079 0.237
La 0.921 0.921 0.763
Tb 0.348 0.348 0.044
Tb 0.500 0.500 0.500
Tb 0.652 0.652 0.956
In 0.219 0.219 0.656
In 0.781 0.781 0.344

#a is preferred energetically. Next in line: 19 meV per atom higher.

#a
# LaTb2In6

Crystalline LaTb2In6 at its relaxed geometry (PBE, Alexandria).

Calculated values
Space-group type   P6/mmm
Calculated volume   238.24 Å³/cell

Unit cell a=8.689 b=8.689 c=3.644 alpha=90.00 beta=90.00 gamma=120.00
Element x y z (fractional)
La 0.000 0.000 0.000
Tb 0.333 0.667 0.000
Tb 0.667 0.333 0.000
In 0.000 0.336 0.500
In 0.000 0.664 0.500
In 0.336 0.000 0.500
In 0.336 0.336 0.500
In 0.664 0.000 0.500
In 0.664 0.664 0.500

#b
# LaTb2In6

Crystalline LaTb2In6 at its relaxed geometry (PBE, Alexandria).

Calculated values
Space-group type   Immm
Calculated volume   251.62 Å³/cell

Unit cell a=9.228 b=9.228 c=9.228 alpha=156.65 beta=125.68 gamma=59.91
Element x y z (fractional)
La 0.000 0.000 0.000
Tb 0.365 0.865 0.500
Tb 0.635 0.135 0.500
In 0.000 0.321 0.679
In 0.000 0.679 0.321
In 0.319 0.500 0.819
In 0.358 0.679 0.679
In 0.642 0.321 0.321
In 0.681 0.500 0.181

#a is preferred energetically. Next in line: 126 meV per atom higher.

#a
# LaTb2In3

Crystalline LaTb2In3 at its relaxed geometry (PBE, Alexandria).

Calculated values
Space-group type   P4/mmm
Calculated volume   169.02 Å³/cell

Unit cell a=3.803 b=3.803 c=11.686 alpha=90.00 beta=90.00 gamma=90.00
Element x y z (fractional)
La 0.000 0.000 0.000
Tb 0.000 0.000 0.340
Tb 0.000 0.000 0.660
In 0.500 0.500 0.182
In 0.500 0.500 0.500
In 0.500 0.500 0.818

#b
# LaTb2In3

Crystalline LaTb2In3 at its relaxed geometry (PBE, Alexandria).

Calculated values
Space-group type   P-3m1
Calculated volume   169.89 Å³/cell

Unit cell a=5.426 b=5.426 c=6.663 alpha=90.00 beta=90.00 gamma=120.00
Element x y z (fractional)
La 0.000 0.000 0.000
Tb 0.333 0.667 0.658
Tb 0.667 0.333 0.342
In 0.000 0.000 0.500
In 0.333 0.667 0.169
In 0.667 0.333 0.831

#a is preferred energetically. Next in line: 14 meV per atom higher.